VASP calculation (PBE-GGA) on a relaxed structure of SiPPbO2.

The value obtained for the density of states at the Fermi level is 0.55 states/eV/f.u. Its offset from the most stable computed form is 0 meV/atom. The calculation puts the uncorrected formation energy at -409 kJ/mol of formula units. Its uncorrected energy is -5.740 eV/atom.

Cell and atoms, written as POSCAR:
```
SiPPbO2
1.0
3.7149 0.0000 0.0000
0.0000 3.7149 0.0000
0.0000 0.0000 4.8393
Si P Pb O
1 1 1 2
Cartesian
0.0000 0.0000 0.0000
0.0000 0.0000 2.4197
1.8575 1.8575 2.4197
0.0000 1.8575 0.0000
1.8575 0.0000 0.0000
```